No. 1
A plane-wave DFT calculation with PBE was carried out for crystalline Rb2CrSbI6 at its relaxed geometry.

Results
Volume: 42.8 A^3/atom
VASP energy: -3.197 eV per atom
SG: I4/mmm, No. 139

Structure (extended XYZ):
```
10
Lattice="8.453 0.000 0.000 0.000 8.453 0.000 4.226 4.226 5.986" Properties=species:S:1:pos:R:3 pbc="T T T"
I 6.266 6.266 0.000
I 2.187 2.187 0.000
I 2.187 6.266 0.000
I 4.226 4.226 2.895
I 6.266 2.187 0.000
I 8.453 8.453 3.090
Rb 8.453 4.226 2.993
Rb 4.226 8.453 2.993
Cr 4.226 4.226 0.000
Sb 0.000 0.000 0.000
```


No. 2
A plane-wave DFT calculation with PBE was carried out for crystalline Rb2ScCrI6 at its relaxed geometry.

Results
Volume: 40.7 A^3/atom
VASP energy: -3.731 eV per atom
SG: Fm-3m, No. 225

Structure (extended XYZ):
```
10
Lattice="8.320 0.000 0.000 0.000 8.320 0.000 4.160 4.160 5.883" Properties=species:S:1:pos:R:3 pbc="T T T"
Cr 0.000 0.000 0.000
Rb 4.160 8.320 2.941
Rb 8.320 4.160 2.941
Sc 4.160 4.160 0.000
I 6.225 2.096 0.000
I 2.096 6.225 0.000
I 4.160 4.160 2.920
I 8.320 8.320 2.963
I 2.096 2.096 0.000
I 6.225 6.225 0.000
```